[1]
This record from Alexandria via LeMat-Bulk describes a relaxed Cr3TcI crystal. The functional is PBE.

Output
Its size of the total moment is 1.0 Bohr magnetons per cell. The calculation puts the energy at -5.770 eV/atom. The polymorph energy (0 for the lowest one) comes out at 1144 meV/atom. The formation energy (no corrections) comes out at 230.3 kJ per mole of atoms.

Unit cell a=4.5392 b=4.5392 c=4.5392 alpha=90.00 beta=90.00 gamma=90.00
Last column: magnetic moment on the atom in μB.
Atoms (fractional coordinates):
Tc 0.5000 0.5000 0.5000  0.18
Cr 0.0000 0.0000 0.5000  0.36
Cr 0.5000 0.0000 0.0000  0.18
I 0.0000 0.0000 0.0000  0.00
Cr 0.0000 0.5000 0.0000  0.27

=====

[2]
This record from Alexandria via LeMat-Bulk describes a relaxed CrTcI3 crystal. The functional is PBE.

Output
Its size of the total moment is 5.2 Bohr magnetons per cell. The calculation puts the energy at -4.125 eV/atom. The polymorph energy (0 for the lowest one) comes out at 0 meV/atom. The formation energy (no corrections) comes out at 77.5 kJ per mole of atoms.

Unit cell a=5.4550 b=5.4550 c=5.4550 alpha=90.00 beta=90.00 gamma=90.00
Last column: magnetic moment on the atom in μB.
Atoms (fractional coordinates):
I 0.0000 0.0000 0.5000  -0.01
I 0.0000 0.5000 0.0000  0.04
I 0.5000 0.0000 0.0000  0.05
Cr 0.5000 0.5000 0.5000  -4.36
Tc 0.0000 0.0000 0.0000  -0.18

=====

[3]
This record from Alexandria via LeMat-Bulk describes a relaxed CrTe3I crystal. The functional is PBE.

Output
Its size of the total moment is 4.3 Bohr magnetons per cell. The calculation puts the energy at -2.999 eV/atom. The formation energy (no corrections) comes out at 108.1 kJ per mole of atoms.

Unit cell a=5.7720 b=5.7720 c=5.7720 alpha=90.00 beta=90.00 gamma=90.00
Last column: magnetic moment on the atom in μB.
Atoms (fractional coordinates):
Cr 0.5000 0.5000 0.5000  -4.28
I 0.0000 0.0000 0.0000  0.01
Te 0.0000 0.5000 0.0000  0.12
Te 0.5000 0.0000 0.0000  0.08
Te 0.0000 0.0000 0.5000  0.11

=====

Q: Which formula does entry 3 have?
A: CrTe3I

=====

Q: Look up the formation energy (no corrections) of the second one.
A: 77.5 kJ per mole of atoms

=====

Q: Number 1 is which compound?
A: Cr3TcI

=====

Q: Number 1 is which compound?
A: Cr3TcI